K3TmCr2O8 | PBE+U | optimized geometry

Summary:
SG: P-3m1 (164)
Uncorrected energy in eV/cell: -90.0
Calculated volume in Å³/atom: 16.58
Magnetic moment in μB per cell: 2.0

```
14
Lattice="5.923 0.000 0.000 -2.961 5.129 0.000 0.000 0.000 7.639" Properties=species:S:1:pos:R:3 pbc="T T T"
O 0.000 1.789 2.509
O 2.961 1.710 7.439
O 4.374 0.894 5.130
O 2.961 3.340 5.130
O 1.412 4.235 2.509
O 1.549 0.894 5.130
O 0.000 3.419 0.200
O -1.412 4.235 2.509
K 0.000 3.419 5.230
K 2.961 1.710 2.410
K 0.000 0.000 0.000
Tm 0.000 0.000 3.820
Cr 2.961 1.710 5.776
Cr 0.000 3.419 1.864
```